LiLaW | meta-GGA SCAN | single point on PBEsol structure

For the density of states at the Fermi level, the calculation gives 2.6 states/eV/f.u. As for the formation energy: 16.61 kcal/mol of atoms.

It has space group I4mm (No. 107), with a = 2.822 Å, b = 2.822 Å, c = 15.221 Å, α = 90.00°, β = 90.00° and γ = 90.00°. Symmetry generates all atoms from Li at (0.000, 0.000, 0.000), La at (0.000, 0.000, 0.303) and W at (0.000, 0.000, 0.636).